# YNi4B4

An optimized crystal structure of YNi4B4 (PBE, the Alexandria database).

Results
Space group ... P4_2/nmc (137)
Offset from the most stable computed form ... 0 meV/atom
V ... 10.01 A^3/atom
Calculated formation energy ... -3.9 eV per formula unit

Unit cell a=5.051 b=5.051 c=7.059 alpha=90.00 beta=90.00 gamma=90.00
Fractional positions:
Y (0.000, 0.000, 0.000)
Y (0.500, 0.500, 0.500)
Ni (0.250, 0.500, 0.866)
Ni (0.750, 0.500, 0.866)
Ni (0.500, 0.750, 0.134)
Ni (0.500, 0.250, 0.134)
Ni (0.000, 0.750, 0.366)
Ni (0.000, 0.250, 0.366)
Ni (0.250, 0.000, 0.634)
Ni (0.750, 0.000, 0.634)
B (0.500, 0.829, 0.840)
B (0.500, 0.171, 0.840)
B (0.829, 0.500, 0.160)
B (0.171, 0.500, 0.160)
B (0.329, 0.000, 0.340)
B (0.671, 0.000, 0.340)
B (0.000, 0.329, 0.660)
B (0.000, 0.671, 0.660)